The following is a DFT calculation (GGA-PBE) of a relaxed structure of Si3Rh5.

magnetization: 0.000 μB per atom
N(E_F): 9.42 states/eV per cell
crystal system: orthorhombic
uncorrected formation energy: -755 meV/atom
symmetry: Pbam, No. 55

Cell: 3.9017 5.3942 10.3010 Å, 90.00 90.00 90.00°
With the nearest neighbours (Å) after each atom.
Fractional positions:
Rh  0.0000  0.6604  0.7127  3 Si 2.36-2.43
Rh  0.0000  0.1604  0.7873  3 Si 2.36-2.43
Rh  0.5000  0.1668  0.1074  4 Si 2.36-2.48
Rh  0.5000  0.3332  0.6074  4 Si 2.36-2.48
Rh  0.5000  0.6668  0.3926  4 Si 2.36-2.48
Rh  0.5000  0.8332  0.8926  4 Si 2.36-2.48
Rh  0.0000  0.0000  0.5000  6 Si 2.57-2.70, 6 Rh 2.86-2.87
Rh  0.0000  0.8396  0.2127  3 Si 2.36-2.43
Rh  0.0000  0.3396  0.2873  3 Si 2.36-2.43
Rh  0.0000  0.5000  0.0000  6 Si 2.57-2.70, 6 Rh 2.86-2.87
Si  0.0000  0.0000  0.0000  6 Rh 2.36-2.42
Si  0.5000  0.0951  0.3453  6 Rh 2.36-2.57
Si  0.5000  0.4049  0.8453  6 Rh 2.36-2.57
Si  0.0000  0.5000  0.5000  6 Rh 2.36-2.42
Si  0.5000  0.9049  0.6547  6 Rh 2.36-2.57
Si  0.5000  0.5951  0.1547  6 Rh 2.36-2.57

The following is a DFT calculation (GGA-PBE) of a relaxed structure of Si7Rh.

magnetization: 0.000 μB per atom
N(E_F): 2.54 states/eV per cell
crystal system: cubic
uncorrected formation energy: 290 meV/atom
symmetry: Fm-3m, No. 225

Cell: 5.4291 5.4291 5.4291 Å, 60.00 60.00 60.00°
With the nearest neighbours (Å) after each atom.
Fractional positions:
Si  0.5000  0.5000  0.0000  2 Rh 2.71, 10 Si 2.71
Si  0.0000  0.0000  0.5000  2 Rh 2.71, 10 Si 2.71
Si  0.5000  0.5000  0.5000  12 Si 2.71
Si  0.5000  0.0000  0.5000  2 Rh 2.71, 10 Si 2.71
Si  0.0000  0.5000  0.5000  2 Rh 2.71, 10 Si 2.71
Si  0.0000  0.5000  0.0000  2 Rh 2.71, 10 Si 2.71
Si  0.5000  0.0000  0.0000  2 Rh 2.71, 10 Si 2.71
Rh  0.0000  0.0000  0.0000  12 Si 2.71

The following is a DFT calculation (GGA-PBE) of a relaxed structure of SiRh.

magnetization: 0.000 μB per atom
N(E_F): 1.35 states/eV per cell
crystal system: orthorhombic
uncorrected formation energy: -542 meV/atom
symmetry: Imma, No. 74

Cell: 5.1678 5.1678 5.1678 Å, 145.29 135.62 57.54°
With the nearest neighbours (Å) after each atom.
Fractional positions:
Si  0.5129  0.5129  0.0000  6 Rh 2.49-2.54
Si  0.2371  0.7371  0.5000  6 Rh 2.49-2.54
Rh  0.0137  0.0137  0.0000  6 Si 2.49-2.54
Rh  0.7363  0.2363  0.5000  6 Si 2.49-2.54